[1]
ZrAsOs2: optimized geometry, PBE-GGA.

Summary:
DFT total energy: -35.69 eV/cell
D(E_F): 2.60 states/eV/cell

Unit cell a=3.236 b=3.236 c=6.283 alpha=90.00 beta=90.00 gamma=90.00
Positions (direct):
1 Zr 0.000 0.000 0.000
2 As 0.000 0.000 0.500
3 Os 0.500 0.500 0.260
4 Os 0.500 0.500 0.740

[2]
ZrAsOs3: optimized geometry, PBE-GGA.

Summary:
DFT total energy: -34.18 eV/cell
excess energy over the best structure of this formula in the dataset: 8.17 eV/f.u.
D(E_F): 8.06 states/eV/cell

Unit cell a=4.832 b=4.832 c=4.832 alpha=90.00 beta=90.00 gamma=90.00
Positions (direct):
1 Zr 0.000 0.000 0.000
2 As 0.500 0.500 0.500
3 Os 0.000 0.000 0.500
4 Os 0.000 0.500 0.000
5 Os 0.500 0.000 0.000

[3]
ZrAsOs: optimized geometry, PBE-GGA.

Summary:
DFT total energy: -24.30 eV/cell
D(E_F): 2.34 states/eV/cell

Unit cell a=3.061 b=3.061 c=6.479 alpha=90.00 beta=90.00 gamma=120.00
Positions (direct):
1 Zr 0.000 0.000 0.000
2 As 0.333 0.667 0.361
3 Os 0.667 0.333 0.638

Number 1: energy of formation from the pure elements -0.01 eV/atom. Number 2: energy of formation from the pure elements 2.54 eV/atom. Number 3: energy of formation from the pure elements 0.04 eV/atom.